AlGeIr | the Open Quantum Materials Database | PBE | optimized geometry; raw total energy = -5.7490 eV/atom
1.0
0.0000 2.9340 2.9340
2.9340 0.0000 2.9340
2.9340 2.9340 0.0000
Al Ge Ir
1 1 1
direct
0.0000 0.0000 0.0000
0.2500 0.2500 0.2500
0.7500 0.7500 0.7500

=====

AlGe2Ir | the Open Quantum Materials Database | PBE | optimized geometry; raw total energy = -5.4381 eV/atom
1.0
4.3160 -0.9721 -0.6794
2.0351 -3.0573 2.5585
1.1556 -3.9603 -1.7363
Al Ge Ir
1 2 1
direct
0.7500 0.7500 0.7500
0.0000 0.0000 0.0000
0.2500 0.2500 0.2500
0.5000 0.5000 0.5000

=====

Li4AlGeIr2 | the Open Quantum Materials Database | PBE | optimized geometry; raw total energy = -4.6819 eV/atom
1.0
-2.9037 1.9408 2.3570
-3.0511 -1.9670 -2.1391
0.1625 -4.4937 3.9003
Al Ge Ir Li
1 1 2 4
direct
0.0000 0.0000 0.0000
0.5000 0.5000 0.5000
0.5000 0.0000 0.2545
0.0000 0.5000 0.7455
0.5000 0.5000 0.0000
0.0000 0.5000 0.2513
0.0000 0.0000 0.5000
0.5000 0.0000 0.7487

=====

MgAlGeIr | the Open Quantum Materials Database | PBE | optimized geometry; offset from the most stable computed form = 0.00 eV/f.u.
1.0
0.0000 3.1399 3.1399
3.1399 0.0000 3.1399
3.1399 3.1399 0.0000
Al Ge Ir Mg
1 1 1 1
direct
0.0000 0.0000 0.0000
0.5000 0.5000 0.5000
0.2500 0.2500 0.2500
0.7500 0.7500 0.7500

=====

MgAlGeIr | the Open Quantum Materials Database | PBE | optimized geometry; offset from the most stable computed form = 0.31 eV/f.u.
1.0
0.0000 3.1727 3.1727
3.1727 0.0000 3.1727
3.1727 3.1727 0.0000
Al Ge Ir Mg
1 1 1 1
direct
0.2500 0.2500 0.2500
0.5000 0.5000 0.5000
0.0000 0.0000 0.0000
0.7500 0.7500 0.7500

=====

Nd3Al3GeIr2 | the Open Quantum Materials Database | PBE | optimized geometry; offset from the most stable computed form = 4.10 eV/f.u.
1.0
-3.8022 -7.1145 1.7901
7.8931 -0.0349 -2.4443
0.9510 0.2635 3.0673
Al Ge Ir Nd
3 1 2 3
direct
0.3844 0.0000 0.5000
0.0000 0.3844 0.5000
0.6156 0.6156 0.5000
0.0000 0.0000 0.5000
0.6667 0.3333 0.0000
0.3333 0.6667 0.0000
0.7048 0.0000 0.0000
0.2952 0.2952 0.0000
0.0000 0.7048 0.0000

=====

Nd3Al3GeIr2 | the Open Quantum Materials Database | PBE | optimized geometry; offset from the most stable computed form = 0.00 eV/f.u.
1.0
-5.8744 4.3787 -0.8675
-0.6375 -6.3314 3.7339
0.9443 1.9559 3.4778
Al Ge Ir Nd
3 1 2 3
direct
0.7308 0.0000 0.5000
0.2692 0.2692 0.5000
0.0000 0.7308 0.5000
0.0000 0.0000 0.0000
0.6667 0.3333 0.5000
0.3333 0.6667 0.5000
0.4054 0.0000 0.0000
0.0000 0.4054 0.0000
0.5946 0.5946 0.0000

=====

Sc3Al3GeIr2 | the Open Quantum Materials Database | PBE | optimized geometry; offset from the most stable computed form = 0.00 eV/f.u.
1.0
7.0742 0.0000 0.0000
-3.5371 6.1264 0.0000
0.0000 0.0000 3.6694
Al Ge Ir Sc
3 1 2 3
direct
0.7272 0.0000 0.5000
0.2728 0.2728 0.5000
0.0000 0.7272 0.5000
0.0000 0.0000 0.0000
0.6667 0.3333 0.5000
0.3333 0.6667 0.5000
0.4002 0.0000 0.0000
0.0000 0.4002 0.0000
0.5998 0.5998 0.0000

=====

Sc3Al3GeIr2 | the Open Quantum Materials Database | PBE | optimized geometry; offset from the most stable computed form = 0.13 eV/f.u.
1.0
7.4296 0.0000 0.0000
-3.7148 6.4342 0.0000
0.0000 0.0000 3.2817
Al Ge Ir Sc
3 1 2 3
direct
0.7048 0.0000 0.0000
0.2952 0.2952 0.0000
0.0000 0.7048 0.0000
0.0000 0.0000 0.5000
0.6667 0.3333 0.0000
0.3333 0.6667 0.0000
0.3821 0.0000 0.5000
0.0000 0.3821 0.5000
0.6179 0.6179 0.5000

=====

Sc3Al3GeIr2 | the Open Quantum Materials Database | PBE | optimized geometry; offset from the most stable computed form = 1.94 eV/f.u.
1.0
7.6470 0.0000 0.0000
-3.8235 6.6225 0.0000
0.0000 0.0000 3.0328
Al Ge Ir Sc
3 1 2 3
direct
0.3841 0.0000 0.5000
0.0000 0.3841 0.5000
0.6159 0.6159 0.5000
0.0000 0.0000 0.5000
0.6667 0.3333 0.0000
0.3333 0.6667 0.0000
0.7094 0.0000 0.0000
0.2906 0.2906 0.0000
0.0000 0.7094 0.0000

=====

Y3Al3SnGeIr | the Open Quantum Materials Database | PBE | optimized geometry; raw total energy = -6.1783 eV/atom
1.0
-3.0505 -4.8512 -4.2559
2.6332 -1.9639 6.3373
-3.7909 0.7877 1.8193
Al Ge Ir Sn Y
3 1 1 1 3
direct
0.2214 0.2260 0.5000
0.0046 0.7786 0.5000
0.7740 0.9954 0.5000
0.3333 0.6667 0.5000
0.0000 0.0000 0.0000
0.6667 0.3333 0.5000
0.0108 0.4110 0.0000
0.5890 0.5998 0.0000
0.4002 0.9892 0.0000

=====

Tb3Al3GeIr2 | the Open Quantum Materials Database | PBE | optimized geometry; offset from the most stable computed form = 3.74 eV/f.u.
1.0
-4.5737 -6.5563 -0.9330
2.9313 1.8617 7.2605
-2.5967 1.7252 0.6060
Al Ge Ir Tb
3 1 2 3
direct
0.3856 0.0000 0.5000
0.0000 0.3856 0.5000
0.6144 0.6144 0.5000
0.0000 0.0000 0.5000
0.6667 0.3333 0.0000
0.3333 0.6667 0.0000
0.7075 0.0000 0.0000
0.2925 0.2925 0.0000
0.0000 0.7075 0.0000

=====

Tb3Al3GeIr2 | the Open Quantum Materials Database | PBE | optimized geometry; offset from the most stable computed form = 0.00 eV/f.u.
1.0
7.2724 0.0000 0.0000
-3.6362 6.2981 0.0000
0.0000 0.0000 3.9639
Al Ge Ir Tb
3 1 2 3
direct
0.7292 0.0000 0.5000
0.2708 0.2708 0.5000
0.0000 0.7292 0.5000
0.0000 0.0000 0.0000
0.6667 0.3333 0.5000
0.3333 0.6667 0.5000
0.4041 0.0000 0.0000
0.0000 0.4041 0.0000
0.5959 0.5959 0.0000

=====

Y3Al3GeIr2 | the Open Quantum Materials Database | PBE | optimized geometry; offset from the most stable computed form = 0.00 eV/f.u.
1.0
7.2736 0.0000 0.0000
-3.6368 6.2991 0.0000
0.0000 0.0000 3.9483
Al Ge Ir Y
3 1 2 3
direct
0.2723 0.0000 0.0000
0.0000 0.2723 0.0000
0.7277 0.7277 0.0000
0.0000 0.0000 0.5000
0.6667 0.3333 0.0000
0.3333 0.6667 0.0000
0.5973 0.0000 0.5000
0.4027 0.4027 0.5000
0.0000 0.5973 0.5000

=====

Y3Al3GeIr2 | the Open Quantum Materials Database | PBE | optimized geometry; offset from the most stable computed form = 3.73 eV/f.u.
1.0
-1.0157 -7.8871 -1.0474
6.3626 3.6848 -3.2054
1.6645 -0.5666 2.6527
Al Ge Ir Y
3 1 2 3
direct
0.3861 0.0000 0.5000
0.0000 0.3861 0.5000
0.6139 0.6139 0.5000
0.0000 0.0000 0.5000
0.6667 0.3333 0.0000
0.3333 0.6667 0.0000
0.7084 0.0000 0.0000
0.2916 0.2916 0.0000
0.0000 0.7084 0.0000

=====

LaAl2GePt | the Open Quantum Materials Database | PBE | optimized geometry; raw total energy = -5.5857 eV/atom
1.0
-3.6034 1.8993 4.6822
-1.3343 6.0107 0.7782
0.0011 -4.2737 -4.5001
Al Ge La Pt
2 1 1 1
direct
0.6568 0.1568 0.5000
0.1568 0.6568 0.5000
0.9988 0.9988 0.0000
0.4174 0.4174 0.0000
0.7671 0.7671 0.0000

=====

Li2Mg2AlGePt2 | the Open Quantum Materials Database | PBE | optimized geometry; raw total energy = -4.1094 eV/atom
1.0
4.4029 0.0000 0.0000
0.0000 4.4029 0.0000
0.0000 0.0000 6.2403
Al Ge Li Mg Pt
1 1 2 2 2
direct
0.0000 0.0000 0.0000
0.5000 0.5000 0.5000
0.5000 0.0000 0.2524
0.0000 0.5000 0.7476
0.5000 0.5000 0.0000
0.0000 0.0000 0.5000
0.0000 0.5000 0.2440
0.5000 0.0000 0.7560

=====

LiAlNiGe | the Open Quantum Materials Database | PBE | optimized geometry; offset from the most stable computed form = 0.00 eV/f.u.
1.0
1.3982 -3.2819 -2.1921
-0.0861 -3.8324 1.6841
-2.6988 -2.8591 -1.4396
Al Ge Li Ni
1 1 1 1
direct
0.5000 0.5000 0.5000
0.0000 0.0000 0.0000
0.7500 0.7500 0.7500
0.2500 0.2500 0.2500

=====

Li4AlGePd2 | the Open Quantum Materials Database | PBE | optimized geometry; raw total energy = -3.8377 eV/atom
1.0
-2.3026 -1.6504 3.2318
2.6769 -3.3567 0.1930
3.4408 2.9722 3.9694
Al Ge Li Pd
1 1 4 2
direct
0.0000 0.0000 0.5000
0.5000 0.5000 0.0000
0.0000 0.0000 0.0000
0.0000 0.5000 0.2439
0.5000 0.5000 0.5000
0.5000 0.0000 0.7561
0.5000 0.0000 0.2507
0.0000 0.5000 0.7493

=====

Li4AlGePt2 | the Open Quantum Materials Database | PBE | optimized geometry; raw total energy = -4.1858 eV/atom
1.0
4.2665 0.0000 0.0000
0.0000 4.2665 0.0000
0.0000 0.0000 6.0293
Al Ge Li Pt
1 1 4 2
direct
0.5000 0.5000 0.0000
0.0000 0.0000 0.5000
0.0000 0.0000 0.0000
0.5000 0.0000 0.2509
0.5000 0.5000 0.5000
0.0000 0.5000 0.7491
0.0000 0.5000 0.2492
0.5000 0.0000 0.7508